1.
First-principles (PBE-GGA) data for a relaxed LiGdDyPt crystal, as listed in Alexandria via LeMat-Bulk.

Computed properties:
**Crystal system**: cubic
**Size of the total moment**: 7.16 μB/f.u.
**Energy relative to the elements**: -0.642 eV/atom
**Space-group type**: F-43m

a b c (Å): 5.005 5.005 5.005
angles (deg): 60.00 60.00 60.00
Site moments in Bohr magnetons follow the coordinates.
Atoms (fractional coordinates):
Pt 0.750 0.750 0.750  -0.01
Dy 0.000 0.000 0.000  0.02
Li 0.250 0.250 0.250  0.01
Gd 0.500 0.500 0.500  7.01

=====

2.
First-principles (PBE-GGA) data for a relaxed LiGdDyRu crystal, as listed in Alexandria via LeMat-Bulk.

Computed properties:
**Crystal system**: cubic
**Size of the total moment**: 7.17 μB/f.u.
**Energy relative to the elements**: -0.257 eV/atom
**Space-group type**: F-43m

a b c (Å): 4.930 4.930 4.930
angles (deg): 60.00 60.00 60.00
Site moments in Bohr magnetons follow the coordinates.
Atoms (fractional coordinates):
Li 0.250 0.250 0.250  0.01
Ru 0.750 0.750 0.750  -0.09
Gd 0.000 0.000 0.000  7.07
Dy 0.500 0.500 0.500  0.02

=====

3.
First-principles (PBE-GGA) data for a relaxed LiGdDySb crystal, as listed in Alexandria via LeMat-Bulk.

Computed properties:
**Uncorrected formation energy**: -0.46 eV per atom
**Crystal system**: cubic
**Size of the total moment**: 7.59 μB/f.u.
**Space-group type**: F-43m

a b c (Å): 5.222 5.222 5.222
angles (deg): 60.00 60.00 60.00
Site moments in Bohr magnetons follow the coordinates.
Atoms (fractional coordinates):
Gd 0.250 0.250 0.250  7.18
Dy 0.750 0.750 0.750  0.16
Sb 0.500 0.500 0.500  -0.03
Li 0.000 0.000 0.000  0.00